Record 1
First-principles (PBE) data for a relaxed structure of CsHg2AsSe, as listed in the Alexandria database.

Geometry as extended XYZ:
```
5
Lattice="-1.749 2.720 -4.490 -4.478 -3.243 -0.220 -2.773 3.607 3.265" Properties=species:S:1:pos:R:3 pbc="T T T"
As 0.000 0.000 0.000
Cs -4.500 1.542 -0.723
Hg -2.239 -1.621 -0.110
Hg -0.874 1.360 -2.245
Se -1.386 1.803 1.632
```

Summary:
Mass density, g/cm³: 6.66
DOS(E_F), states/eV/f.u.: 3.010
ΔE_f (raw), meV per atom: -245
SG: No. 123
Final energy, eV/atom: -2.1635
Total moment, μB/f.u.: 0.0



Record 2
First-principles (PBE) data for a relaxed structure of Cs2HgAsSe4, as listed in the Alexandria database.

Geometry as extended XYZ:
```
16
Lattice="-0.865 6.596 0.142 -0.759 3.413 -7.265 -12.949 1.645 0.603" Properties=species:S:1:pos:R:3 pbc="T T T"
Se -12.896 9.978 -5.167
Se -2.308 5.045 -5.716
Se -8.571 5.437 -1.755
Se -5.441 2.874 -1.935
Se -11.882 3.685 -0.867
Se -5.954 5.845 -4.773
Se -2.062 4.602 -1.290
Se -9.181 9.154 -4.577
As -7.071 4.178 -3.295
As -0.433 3.298 0.071
Cs -8.434 2.242 0.411
Cs -12.019 6.880 -3.033
Cs -5.381 6.000 0.334
Cs -2.987 8.073 -3.417
Hg 0.000 0.000 0.000
Hg -7.503 7.476 -3.225
```

Summary:
Mass density, g/cm³: 4.61
DOS(E_F), states/eV/f.u.: 5.437
ΔE_f (raw), meV per atom: -551
SG: No. 70
Final energy, eV/atom: -3.1259
Total moment, μB/f.u.: 0.0



Record 3
First-principles (PBE) data for a relaxed structure of CsHg2AsSe4, as listed in the Alexandria database.

Geometry as extended XYZ:
```
8
Lattice="-2.787 -6.147 -1.556 -1.155 -4.761 5.459 -7.305 -0.477 -0.449" Properties=species:S:1:pos:R:3 pbc="T T T"
Se -8.415 -6.599 1.462
Se -4.810 -4.468 4.281
Se -4.432 -8.313 1.099
Se -4.838 -3.389 0.066
Hg -6.683 -4.955 0.710
Hg -4.565 -6.430 2.744
As -4.230 -2.619 2.505
Cs 0.000 0.000 0.000
```

Summary:
Mass density, g/cm³: 5.33
ΔE_f (raw), meV per atom: -353
SG: No. 23
Final energy, eV/atom: -2.8589
Total moment, μB/f.u.: 0.0



Record 4
First-principles (PBE) data for a relaxed structure of CsHgAs2Se, as listed in the Alexandria database.

Geometry as extended XYZ:
```
5
Lattice="-4.250 0.642 -5.717 -2.740 -6.476 1.309 -4.741 2.781 3.837" Properties=species:S:1:pos:R:3 pbc="T T T"
As -2.125 0.321 -2.859
As -1.370 -3.238 0.655
Se -2.370 1.391 1.918
Hg -5.865 -1.526 -0.285
Cs 0.000 0.000 0.000
```

Summary:
Mass density, g/cm³: 2.72
ΔE to the lowest computed polymorph, kcal/mol of atoms: 19.46
DOS(E_F), states/eV/f.u.: 9.561
ΔE_f (raw), meV per atom: 1175
SG: No. 123
Final energy, eV/atom: -1.6126
Total moment, μB/f.u.: 4.5



Record 5
First-principles (PBE) data for a relaxed structure of CsHgAs2Se, as listed in the Alexandria database.

Geometry as extended XYZ:
```
5
Lattice="5.368 0.000 0.000 0.000 5.368 0.000 0.000 0.000 5.681" Properties=species:S:1:pos:R:3 pbc="T T T"
Cs 2.684 2.684 2.841
Se 0.000 0.000 2.841
As 0.000 2.684 0.000
As 2.684 0.000 0.000
Hg 0.000 0.000 0.000
```

Summary:
Mass density, g/cm³: 5.70
ΔE to the lowest computed polymorph, kcal/mol of atoms: 0.00
DOS(E_F), states/eV/f.u.: 3.852
ΔE_f (raw), meV per atom: 331
SG: No. 123
Final energy, eV/atom: -2.4564
Total moment, μB/f.u.: 1.4



Record 6
First-principles (PBE) data for a relaxed structure of Cs4SnHg2As2, as listed in the Alexandria database.

Geometry as extended XYZ:
```
9
Lattice="6.025 0.561 0.382 2.099 9.111 0.476 2.099 3.788 8.300" Properties=species:S:1:pos:R:3 pbc="T T T"
As 2.687 2.352 1.600
As 7.536 11.108 7.558
Sn 3.012 0.281 0.191
Cs 7.834 10.234 3.912
Cs 2.388 3.227 5.246
Cs 7.834 7.397 8.082
Cs 2.388 6.064 1.076
Hg 5.349 5.408 3.679
Hg 4.874 8.053 5.479
```

Summary:
Mass density, g/cm³: 4.63
DOS(E_F), states/eV/f.u.: 7.054
ΔE_f, kJ/mol of atoms: -20.4
SG: No. 12
Final energy, eV/atom: -2.1354
Total moment, μB/f.u.: 0.0



Record 7
First-principles (PBE) data for a relaxed structure of Cs2SnHgAs, as listed in the Alexandria database.

Geometry as extended XYZ:
```
5
Lattice="7.153 0.000 0.000 0.000 7.153 0.000 0.000 0.000 5.323" Properties=species:S:1:pos:R:3 pbc="T T T"
Cs 0.000 3.576 0.000
Cs 3.576 0.000 0.000
As 0.000 0.000 0.000
Sn 0.000 0.000 2.662
Hg 3.576 3.576 2.662
```

Summary:
Mass density, g/cm³: 4.02
DOS(E_F), states/eV/f.u.: 2.712
ΔE_f, kJ/mol of atoms: -13.0
SG: No. 123
Final energy, eV/atom: -2.2670
Total moment, μB/f.u.: 0.0



Record 8
First-principles (PBE) data for a relaxed structure of CsTcSnHgAs, as listed in the Alexandria database.

Geometry as extended XYZ:
```
5
Lattice="3.286 0.000 0.001 0.000 3.294 0.000 -0.038 -1.618 11.717" Properties=species:S:1:pos:R:3 pbc="T T T"
Tc 2.930 0.510 9.708
Cs 2.929 0.504 5.727
As 1.288 -1.138 8.530
Sn 1.290 -1.139 11.603
Hg 1.290 2.158 2.689
```

Summary:
Mass density, g/cm³: 8.19
ΔE to the lowest computed polymorph, kcal/mol of atoms: 0.00
DOS(E_F), states/eV/f.u.: 2.336
ΔE_f, kJ/mol of atoms: -2.3
SG: No. 1
Final energy, eV/atom: -4.0584
Total moment, μB/f.u.: 0.0



Record 9
First-principles (PBE) data for a relaxed structure of CsTcSnHgAs, as listed in the Alexandria database.

Geometry as extended XYZ:
```
10
Lattice="-9.377 4.565 5.242 1.888 -0.910 4.171 2.755 3.745 -0.430" Properties=species:S:1:pos:R:3 pbc="T T T"
Hg 0.018 3.846 0.831
Hg -0.416 1.519 3.132
As -4.479 4.796 5.687
As -6.801 3.379 3.816
Cs -1.150 5.101 4.246
Cs -3.472 3.684 2.376
Tc -6.254 5.922 4.124
Tc -6.687 3.595 6.424
Sn -8.933 5.103 5.158
Sn -6.611 6.521 7.029
```

Summary:
Mass density, g/cm³: 8.33
ΔE to the lowest computed polymorph, kcal/mol of atoms: 0.03
DOS(E_F), states/eV/f.u.: 2.805
ΔE_f, kJ/mol of atoms: -2.2
SG: No. 8
Final energy, eV/atom: -4.0572
Total moment, μB/f.u.: 0.0



Record 10
First-principles (PBE) data for a relaxed structure of CsTcSnHgAs, as listed in the Alexandria database.

Geometry as extended XYZ:
```
10
Lattice="-8.449 1.426 -3.738 0.416 -3.156 -2.145 -3.348 -5.232 7.051" Properties=species:S:1:pos:R:3 pbc="T T T"
Tc -1.746 -1.179 1.397
Tc -3.212 -5.374 3.851
Cs -4.127 -0.898 -2.914
Cs -6.009 -1.936 1.684
As -2.890 -2.725 0.015
As -4.772 -3.763 4.613
Hg -7.607 -0.112 -1.311
Hg -9.073 -4.306 1.142
Sn -0.441 -1.677 -1.052
Sn -2.323 -2.715 3.546
```

Summary:
Mass density, g/cm³: 6.17
ΔE to the lowest computed polymorph, kcal/mol of atoms: 0.99
DOS(E_F), states/eV/f.u.: 2.672
ΔE_f, kJ/mol of atoms: 1.9
SG: No. 8
Final energy, eV/atom: -4.0153
Total moment, μB/f.u.: 0.0



Record 11
First-principles (PBE) data for a relaxed structure of CsTcSnHgAs, as listed in the Alexandria database.

Geometry as extended XYZ:
```
10
Lattice="10.292 0.000 -0.010 0.000 3.591 0.000 -2.009 0.000 7.625" Properties=species:S:1:pos:R:3 pbc="T T T"
Hg 0.760 0.000 4.731
Hg 1.765 1.795 0.919
Sn 9.695 0.000 1.976
Sn 8.690 1.795 5.788
Tc 8.570 1.795 0.088
Tc 7.565 0.000 3.900
As 6.231 0.000 6.056
As 7.235 1.795 2.244
Cs 4.931 0.000 0.082
Cs 3.927 1.795 3.894
```

Summary:
Mass density, g/cm³: 7.37
ΔE to the lowest computed polymorph, kcal/mol of atoms: 0.73
DOS(E_F), states/eV/f.u.: 2.256
ΔE_f, kJ/mol of atoms: 0.8
SG: No. 8
Final energy, eV/atom: -4.0269
Total moment, μB/f.u.: 0.0



Record 12
First-principles (PBE) data for a relaxed structure of CsTcSnHgAs, as listed in the Alexandria database.

Geometry as extended XYZ:
```
5
Lattice="3.365 0.000 -0.004 0.000 4.348 0.000 -1.663 0.000 9.906" Properties=species:S:1:pos:R:3 pbc="T T T"
Cs 0.287 0.000 4.889
Hg 1.964 2.174 1.963
Sn -1.389 0.000 9.429
As 1.973 2.174 7.132
Tc 0.293 2.174 8.918
```

Summary:
Mass density, g/cm³: 7.16
ΔE to the lowest computed polymorph, kcal/mol of atoms: 0.47
DOS(E_F), states/eV/f.u.: 2.877
ΔE_f, kJ/mol of atoms: -0.3
SG: No. 38
Final energy, eV/atom: -4.0379
Total moment, μB/f.u.: 0.0



Record 13
First-principles (PBE) data for a relaxed structure of CsTcSnHgAs, as listed in the Alexandria database.

Geometry as extended XYZ:
```
10
Lattice="-2.104 -1.936 -1.921 2.195 0.238 -2.644 10.482 -18.384 7.050" Properties=species:S:1:pos:R:3 pbc="T T T"
Sn 5.333 -10.121 1.273
Sn 0.046 -0.080 0.031
Tc 9.199 -16.134 6.187
Tc 4.004 -7.791 0.379
Cs 2.489 -4.365 1.674
Cs 7.776 -14.406 2.916
Hg 1.184 -2.845 -1.517
Hg 6.379 -11.188 4.290
As 4.240 -7.437 2.852
As 9.527 -17.478 4.094
```

Summary:
Mass density, g/cm³: 7.84
ΔE to the lowest computed polymorph, kcal/mol of atoms: 4.40
DOS(E_F), states/eV/f.u.: 3.327
ΔE_f, kJ/mol of atoms: 16.1
SG: No. 107
Final energy, eV/atom: -3.8675
Total moment, μB/f.u.: 0.0



Record 14
First-principles (PBE) data for a relaxed structure of CsTcSnHgAs, as listed in the Alexandria database.

Geometry as extended XYZ:
```
10
Lattice="-1.110 3.563 2.971 1.508 -2.833 3.962 11.871 4.676 -1.174" Properties=species:S:1:pos:R:3 pbc="T T T"
Cs 2.225 1.163 3.266
Cs 7.406 4.918 0.698
Hg 1.942 0.765 -0.192
Hg 8.631 1.687 1.202
Tc 11.328 4.463 -1.120
Tc 6.146 0.708 1.448
Sn 4.640 1.828 -0.459
Sn 11.330 2.750 0.935
As 10.758 6.238 0.366
As 5.577 2.483 2.934
```

Summary:
Mass density, g/cm³: 6.66
ΔE to the lowest computed polymorph, kcal/mol of atoms: 1.32
DOS(E_F), states/eV/f.u.: 2.502
ΔE_f, kJ/mol of atoms: 3.2
SG: No. 38
Final energy, eV/atom: -4.0012
Total moment, μB/f.u.: 0.0



Record 15
First-principles (PBE) data for a relaxed structure of CsTcSnHgAs, as listed in the Alexandria database.

Geometry as extended XYZ:
```
5
Lattice="-3.358 3.828 1.295 -3.564 -3.259 0.394 1.266 -0.727 5.431" Properties=species:S:1:pos:R:3 pbc="T T T"
Cs -1.046 1.551 3.363
Sn -3.461 0.285 0.845
Hg -1.149 -1.993 2.913
Tc -1.782 -1.629 0.197
As 0.000 0.000 0.000
```

Summary:
Mass density, g/cm³: 7.25
ΔE to the lowest computed polymorph, kcal/mol of atoms: 0.08
DOS(E_F), states/eV/f.u.: 2.391
ΔE_f, kJ/mol of atoms: -1.9
SG: No. 47
Final energy, eV/atom: -4.0548
Total moment, μB/f.u.: 0.0



Record 16
First-principles (PBE) data for a relaxed structure of CsSrHgAs2, as listed in the Alexandria database.

Geometry as extended XYZ:
```
5
Lattice="-3.193 -4.590 -1.408 3.660 -4.025 4.824 -3.825 1.410 4.078" Properties=species:S:1:pos:R:3 pbc="T T T"
Hg -1.679 -3.603 3.747
Cs 1.830 -2.013 2.412
As -1.912 0.705 2.039
As -1.597 -2.295 -0.704
Sr 0.000 0.000 0.000
```

Summary:
Mass density, g/cm³: 3.92
DOS(E_F), states/eV/f.u.: 4.228
ΔE_f, kJ/mol of atoms: 22.0
SG: No. 123
Final energy, eV/atom: -2.1989
Total moment, μB/f.u.: 0.0



Record 17
First-principles (PBE) data for a relaxed structure of CsTcHg2As, as listed in the Alexandria database.

Geometry as extended XYZ:
```
5
Lattice="-2.891 -4.573 -1.115 2.739 -0.570 -4.763 3.303 -2.628 2.213" Properties=species:S:1:pos:R:3 pbc="T T T"
As 1.651 -1.314 1.107
Tc 0.000 0.000 0.000
Hg 1.369 -0.285 -2.382
Hg -1.445 -2.286 -0.557
Cs 1.575 -3.885 -1.832
```

Summary:
Mass density, g/cm³: 8.07
DOS(E_F), states/eV/f.u.: 2.361
ΔE_f, kJ/mol of atoms: -3.7
SG: No. 123
Final energy, eV/atom: -3.3328
Total moment, μB/f.u.: 0.0



Record 18
First-principles (PBE) data for a relaxed structure of CsHg2TeAs, as listed in the Alexandria database.

Geometry as extended XYZ:
```
5
Lattice="5.585 0.000 0.000 0.000 5.585 0.000 0.000 0.000 5.998" Properties=species:S:1:pos:R:3 pbc="T T T"
Hg 0.000 2.793 0.000
Hg 2.793 0.000 0.000
Te 0.000 0.000 2.999
Cs 2.793 2.793 2.999
As 0.000 0.000 0.000
```

Summary:
Mass density, g/cm³: 6.54
DOS(E_F), states/eV/f.u.: 3.921
ΔE_f (raw), meV per atom: -234
SG: No. 123
Final energy, eV/atom: -2.0832
Total moment, μB/f.u.: 0.0



Record 19
First-principles (PBE) data for a relaxed structure of CsTlHg2As, as listed in the Alexandria database.

Geometry as extended XYZ:
```
5
Lattice="-4.529 -2.660 1.994 2.438 -4.948 -1.066 2.426 0.007 5.518" Properties=species:S:1:pos:R:3 pbc="T T T"
Hg 1.219 -2.474 -0.533
Hg -2.264 -1.330 0.997
Cs 0.167 -3.801 3.223
As 0.000 0.000 0.000
Tl 1.213 0.003 2.759
```

Summary:
Mass density, g/cm³: 7.10
DOS(E_F), states/eV/f.u.: 2.175
ΔE_f, kJ/mol of atoms: -0.8
SG: No. 123
Final energy, eV/atom: -1.7028
Total moment, μB/f.u.: 0.0



Record 20
First-principles (PBE) data for a relaxed structure of CsZnHgAs, as listed in the Alexandria database.

Geometry as extended XYZ:
```
8
Lattice="-0.246 -1.685 4.007 3.925 -1.811 -0.520 5.879 11.278 5.105" Properties=species:S:1:pos:R:3 pbc="T T T"
Hg 5.822 3.860 3.164
Hg 3.736 3.922 5.427
Zn 2.882 -1.779 0.611
Zn 0.797 -1.717 2.875
Cs 5.372 7.667 4.737
Cs 4.186 0.115 3.854
As 8.013 7.457 7.177
As 1.544 0.324 1.414
```

Summary:
Mass density, g/cm³: 6.06
DOS(E_F), states/eV/f.u.: 1.007
ΔE_f, kJ/mol of atoms: -31.5
SG: No. 129
Final energy, eV/atom: -2.0962
Total moment, μB/f.u.: 0.0